Record 1
The following is a DFT calculation (PBE-GGA) of a relaxed AsOs5 crystal.

The structure belongs to space group Cmmm (No. 65); the cell edges are 3.866, 11.974 and 3.828 Å and the angles 90.00°, 90.00° and 90.00°. The distinct sites, in fractional coordinates, are As at (0.000, 0.000, 0.000), Os at (0.000, 0.173, 0.500), Os at (0.000, 0.321, 0.000) and Os at (0.000, 0.500, 0.500).

For the total energy, the calculation gives -9.725 eV per atom. The calculation puts the energy above the most stable polymorph in this dataset at 131 meV/atom. The calculation puts the formation energy at 0.408 eV per atom. The calculated volume comes out at 177.2 Å³ per cell.



Record 2
The following is a DFT calculation (PBE-GGA) of a relaxed AsOs2 crystal.

The structure belongs to space group Cmcm (No. 63); the cell edges are 4.044, 11.002 and 4.138 Å and the angles 90.00°, 90.00° and 90.00°. The distinct sites, in fractional coordinates, are As at (0.000, 0.105, 0.250), Os at (0.000, 0.223, 0.750) and Os at (0.000, 0.436, 0.250).

For the total energy, the calculation gives -8.540 eV per atom. The calculation puts the formation energy at 0.497 eV per atom. The calculated volume comes out at 184.1 Å³ per cell.



Record 3
The following is a DFT calculation (PBE-GGA) of a relaxed AsOs5 crystal.

The structure belongs to space group P-62m (No. 189); the cell edges are 4.7785, 4.7785 and 4.4252 Å and the angles 90.00°, 90.00° and 120.00°. The distinct sites, in fractional coordinates, are As at (0.0000, 0.0000, 0.0000), Os at (0.0000, 0.6527, 0.5000) and Os at (0.3333, 0.6667, 0.0000).

For the total energy, the calculation gives -9.714 eV per atom. The calculation puts the energy above the most stable polymorph in this dataset at 142 meV/atom. The calculation puts the formation energy at 0.419 eV per atom. The calculated volume comes out at 87.5 Å³ per cell.



Record 4
The following is a DFT calculation (PBE-GGA) of a relaxed AsOs5 crystal.

The structure belongs to space group P4/mmm (No. 123); the cell edges are 2.810, 2.810 and 10.980 Å and the angles 90.00°, 90.00° and 90.00°. The distinct sites, in fractional coordinates, are As at (0.000, 0.000, 0.000), Os at (0.000, 0.000, 0.327), Os at (0.500, 0.500, 0.161) and Os at (0.500, 0.500, 0.500).

For the total energy, the calculation gives -9.802 eV per atom. The calculation puts the energy above the most stable polymorph in this dataset at 54 meV/atom. The calculation puts the formation energy at 0.331 eV per atom. The calculated volume comes out at 86.7 Å³ per cell.



Record 5
The following is a DFT calculation (PBE-GGA) of a relaxed AsOs2 crystal.

The structure belongs to space group I4_1/amd (No. 141, origin choice 2); the cell edges are 3.001, 3.001 and 20.287 Å and the angles 90.00°, 90.00° and 90.00°. The distinct sites, in fractional coordinates, are As at (0.000, 0.250, 0.375) and Os at (0.000, 0.250, 0.803).

For the total energy, the calculation gives -8.437 eV per atom. The calculation puts the formation energy at 0.600 eV per atom. The calculated volume comes out at 182.7 Å³ per cell.



Record 6
The following is a DFT calculation (PBE-GGA) of a relaxed AsOs2 crystal.

The structure belongs to space group P6_3/mmc (No. 194); the cell edges are 4.0615, 4.0615 and 7.0456 Å and the angles 90.00°, 90.00° and 120.00°. The distinct sites, in fractional coordinates, are As at (0.0000, 0.0000, 0.2500) and Os at (0.3333, 0.6667, 0.0653).

For the total energy, the calculation gives -8.467 eV per atom. The calculation puts the formation energy at 0.569 eV per atom. The calculated volume comes out at 100.6 Å³ per cell.



Record 7
The following is a DFT calculation (PBE-GGA) of a relaxed As5Os crystal.

The structure belongs to space group P6/mmm (No. 191); the cell edges are 4.9318, 4.9318 and 5.7619 Å and the angles 90.00°, 90.00° and 120.00°. The distinct sites, in fractional coordinates, are As at (0.0000, 0.5000, 0.0000), As at (0.3333, 0.6667, 0.5000) and Os at (0.0000, 0.0000, 0.5000).

For the total energy, the calculation gives -4.720 eV per atom. The calculation puts the energy above the most stable polymorph in this dataset at 920 meV/atom. The calculation puts the formation energy at 1.026 eV per atom. The calculated volume comes out at 121.4 Å³ per cell.



Record 8
The following is a DFT calculation (PBE-GGA) of a relaxed As2Os crystal.

The structure belongs to space group P-3m1 (No. 164); the cell edges are 3.2807, 3.2807 and 5.6993 Å and the angles 90.00°, 90.00° and 120.00°. The distinct sites, in fractional coordinates, are As at (0.3333, 0.6667, 0.2960) and Os at (0.0000, 0.0000, 0.0000).

For the total energy, the calculation gives -6.623 eV per atom. The calculation puts the formation energy at 0.220 eV per atom. The calculated volume comes out at 53.1 Å³ per cell.